No. 1
# BC

A relaxed BC crystal (PBE, the Alexandria database).

```
12
Lattice="-1.0008 -1.8393 5.7983 1.3241 -2.8223 5.3185 2.1930 4.9612 0.4613" Properties=species:S:1:pos:R:3 pbc="T T T"
B 0.7529 -3.2650 10.3370
B 0.8789 0.5285 3.1759
B 1.8266 -0.8696 10.6316
B 0.9697 -1.3435 7.4506
B 1.5940 1.9202 3.7895
B 2.0434 1.0520 7.7452
C 0.0025 -0.0290 0.0713
C 0.4345 -0.8039 3.7520
C 1.0926 2.4486 0.2771
C 1.3804 0.0000 6.6883
C 2.0385 3.2525 3.2134
C 0.2775 -2.4836 6.4327
```

DFT total energy = -7.546 eV/atom
Formation energy from the elements = 0.40 eV per atom
Space-group type = C2/m (12)

No. 2
# BC

A relaxed BC crystal (PBE, the Alexandria database).

```
12
Lattice="-0.3046 1.3995 2.0671 1.8454 -1.2761 1.1359 8.5113 8.3761 -4.4170" Properties=species:S:1:pos:R:3 pbc="T T T"
B 7.7582 8.4846 -3.0717
B 4.6220 5.3982 -1.4441
B 5.6742 5.5841 -2.9447
B 7.4968 5.8316 -2.8437
B 2.1890 1.4577 0.8653
B 4.3606 2.7452 -1.2161
C 8.0015 7.1779 -2.1511
C 4.8877 4.1136 -0.5352
C 1.9832 2.8013 -0.0747
C 2.6770 2.6345 -1.3893
C 0.1601 0.1575 -0.0831
C 1.6243 0.0524 0.2039
```

DFT total energy = -7.570 eV/atom
Formation energy from the elements = 0.38 eV per atom
Space-group type = P-4m2 (115)

No. 3
# BC

A relaxed BC crystal (PBE, the Alexandria database).

```
12
Lattice="-0.6430 -4.1151 5.2961 1.2237 -5.4443 3.7761 3.6511 2.6428 2.1728" Properties=species:S:1:pos:R:3 pbc="T T T"
B 0.5072 -0.0001 0.6229
B 1.2453 -2.8516 4.0228
B 2.6754 -6.7852 9.2187
B 0.9928 -6.3570 6.7779
B 2.9278 -3.2798 6.4635
B 2.8327 -0.0773 3.5463
C 1.6430 -8.1938 9.1827
C 1.0907 -1.7669 2.8845
C 2.8299 -7.8699 10.3570
C 2.2776 -1.4429 4.0588
C 3.4128 -4.1997 7.8635
C 0.5078 -5.4371 5.3780
```

DFT total energy = -7.756 eV/atom
Formation energy from the elements = 0.19 eV per atom
Space-group type = C2/m (12)

No. 4
# B7C5

A relaxed B7C5 crystal (PBE, the Alexandria database).

```
12
Lattice="2.6656 0.0000 0.0000 -1.3328 2.3084 0.0000 0.0000 0.0000 15.2864" Properties=species:S:1:pos:R:3 pbc="T T T"
B 1.3328 0.7695 13.0269
B 0.0000 0.0000 13.9990
B 1.3328 0.7695 11.2864
B 1.3328 0.7695 4.4725
B 0.0000 0.0000 5.5109
B 0.0000 1.5390 7.1925
B 0.0000 1.5390 2.4608
C 0.0000 1.5390 11.2444
C 0.0000 0.0000 7.0732
C 1.3328 0.7695 2.9534
C 0.0000 0.0000 0.2969
C 0.0000 1.5390 0.7365
```

DFT total energy = -7.329 eV/atom
Formation energy from the elements = 0.41 eV per atom
Space-group type = P3m1 (156)

| no. | energy above the lowest structure with this stoichiometry (meV per atom) |
| --- | --- |
| 1 | 254 |
| 2 | 230 |
| 3 | 44 |
| 4 | 245 |